# 1
This record from Alexandria describes PrSm2ZrP4 after structural relaxation. The functional is PBE.

Computed properties:
Total magnetization (μB/f.u.): 0.00
Mass density (g/cm³): 5.88
Fermi-level density of states (states/eV/f.u.): 1.53
DFT total energy (eV/cell): -56.21
Energy of formation (kJ per mole of atoms): -142

abc: 6.9743 4.0277 6.9885
angles: 90.00 109.22 90.00
Space group P2/m (No. 10)
One atom of each set of equivalent atoms:
Pr (0.0000, 0.0000, 0.0000) [1 per cell]
Sm (0.5000, 0.0000, 0.5000) [1 per cell]
Sm (0.5000, 0.5000, 0.0000) [1 per cell]
Zr (0.0000, 0.5000, 0.5000) [1 per cell]
P (0.2361, 0.0000, 0.7324) [2 per cell]
P (0.2449, 0.5000, 0.2629) [2 per cell]

---

# 2
This record from Alexandria describes PrSnP2 after structural relaxation. The functional is PBE.

Computed properties:
Total magnetization (μB/f.u.): 0.00
Mass density (g/cm³): 4.83
Fermi-level density of states (states/eV/f.u.): 3.36
DFT total energy (eV/cell): -57.07
Energy of formation (kJ per mole of atoms): 14

abc: 3.8101 3.8101 26.3739
angles: 90.00 90.00 120.00
Space group R-3m (No. 166, hexagonal axes)
One atom of each set of equivalent atoms:
Pr (0.0000, 0.0000, 0.0000) [3 per cell]
Sn (0.0000, 0.0000, 0.5000) [3 per cell]
P (0.0000, 0.0000, 0.1087) [6 per cell]

---

# 3
This record from Alexandria describes Pr4SnP2 after structural relaxation. The functional is PBE.

Computed properties:
Total magnetization (μB/f.u.): 0.79
Mass density (g/cm³): 5.87
Fermi-level density of states (states/eV/f.u.): 4.01
DFT total energy (eV/cell): -167.15
Energy of formation (kJ per mole of atoms): -108

abc: 4.2466 13.8597 14.3007
angles: 90.00 90.00 90.00
Space group Cmcm (No. 63)
One atom of each set of equivalent atoms:
Pr (0.0000, 0.0000, 0.0000) [4 per cell]
Pr (0.0000, 0.2677, 0.1156) [8 per cell]
Pr (0.0000, 0.4365, 0.7500) [4 per cell]
Sn (0.0000, 0.1073, 0.7500) [4 per cell]
P (0.0000, 0.3641, 0.5604) [8 per cell]

---

# 4
This record from Alexandria describes Pr7SnP5 after structural relaxation. The functional is PBE.

Computed properties:
Total magnetization (μB/f.u.): 0.79
Mass density (g/cm³): 5.68
Fermi-level density of states (states/eV/f.u.): 3.80
DFT total energy (eV/cell): -327.34
Energy of formation (kJ per mole of atoms): -129

abc: 4.2147 13.9350 25.1059
angles: 90.00 90.00 90.00
Space group Cmcm (No. 63)
One atom of each set of equivalent atoms:
Pr (0.0000, 0.0290, 0.2500) [4 per cell]
Pr (0.0000, 0.1362, 0.5344) [8 per cell]
Pr (0.0000, 0.3230, 0.1712) [8 per cell]
Pr (0.0000, 0.4098, 0.6042) [8 per cell]
Sn (0.0000, 0.2985, 0.7500) [4 per cell]
P (0.0000, 0.0449, 0.6425) [8 per cell]
P (0.0000, 0.2272, 0.0721) [8 per cell]
P (0.0000, 0.5000, 0.0000) [4 per cell]